one) Ho2ErTh4: relaxed, GGA-PBE.

POSCAR file:
```
Ho2ErTh4
1.0
1.7801 -17.9412 0.0000
1.7801 17.9412 0.0000
0.0000 0.0000 3.5420
Ho Er Th
2 1 4
Cartesian
1.7801 10.4801 0.0000 Ho
1.7801 -10.4801 0.0000 Ho
1.7801 0.0000 1.7710 Er
1.7801 15.3821 0.0000 Th
1.7801 5.0298 1.7710 Th
1.7801 -5.0298 1.7710 Th
1.7801 -15.3821 0.0000 Th
```

**Space-group type**: Cmmm, No. 65
**Calculated volume**: 226.2 Å³ per cell

***

two) Ho2ErTh4: relaxed, GGA-PBE.

POSCAR file:
```
Ho2ErTh4
1.0
-2.8320 2.8320 8.1844
2.8320 -2.8320 8.1844
2.8320 2.8320 -8.1844
Ho Er Th
2 1 4
Cartesian
0.0000 0.0000 1.8716 Ho
0.0000 0.0000 14.4973 Ho
0.0000 0.0000 8.1844 Er
2.8320 0.0000 0.0000 Th
0.0000 0.0000 5.1343 Th
0.0000 2.8320 0.0000 Th
0.0000 0.0000 11.2346 Th
```

**Space-group type**: I4/mmm, No. 139
**Calculated volume**: 262.6 Å³ per cell

***

Consider the structures shown above. The least stable of them is two).